DFT (SCAN) results for a crystal of AgGeSN2 relaxed with PBEsol.

POSCAR file:
```
AgGeSN2
1.0
3.673 0.000 0.000
0.000 3.673 0.000
0.000 0.000 5.346
S N Ag Ge
1 2 1 1
Direct
0.000 0.000 0.500
0.500 0.000 0.000
0.000 0.500 0.000
0.500 0.500 0.500
0.000 0.000 0.000
```

Properties
* E_form (uncorrected): 1078 meV per atom
* mass density: 5.54 Mg/m³
* total moment: 2.49 Bohr magnetons per cell
* calculated total energy: -1.0771 Ry/atom

***

DFT (SCAN) results for a crystal of NaAg3Ge relaxed with PBEsol.

POSCAR file:
```
NaAg3Ge
1.0
-2.988 -2.059 3.119
-0.422 -3.781 -2.901
3.713 -2.087 2.180
Ag Ge Na
3 1 1
Direct
0.500 0.000 0.000
0.000 0.500 0.000
0.000 0.000 0.500
0.500 0.500 0.500
0.000 0.000 0.000
```

Properties
* mass density: 6.35 Mg/m³
* total moment: 0.00 Bohr magnetons per cell
* calculated total energy: -1.6544 Ry/atom
* energy of formation from the pure elements: 0.9710 eV/atom

***

DFT (SCAN) results for a crystal of NaAg2Ge2 relaxed with PBEsol.

POSCAR file:
```
NaAg2Ge2
1.0
4.417 0.000 0.000
0.000 4.417 0.000
-2.208 -2.208 5.153
Ge Ag Na
2 2 1
Direct
0.383 0.383 0.766
0.617 0.617 0.234
0.250 0.750 0.500
0.750 0.250 0.500
0.000 0.000 0.000
```

Properties
* mass density: 6.34 Mg/m³
* total moment: 0.00 Bohr magnetons per cell
* calculated total energy: -1.5472 Ry/atom
* energy of formation from the pure elements: -0.0263 eV/atom

***

DFT (SCAN) results for a crystal of Na5AgGe2S7 relaxed with PBEsol.

POSCAR file:
```
Na5AgGe2S7
1.0
6.813 0.019 0.024
-0.755 6.771 0.024
-2.309 -2.588 14.249
S Na Ge Ag
14 10 4 2
Direct
0.482 0.264 0.815
0.264 0.125 0.475
0.331 0.800 0.892
0.736 0.518 0.685
0.200 0.669 0.608
0.955 0.045 0.750
0.518 0.736 0.185
0.800 0.331 0.392
0.125 0.264 0.975
0.736 0.875 0.525
0.264 0.482 0.315
0.875 0.736 0.025
0.669 0.200 0.108
0.045 0.955 0.250
0.500 0.500 0.500
0.971 0.522 0.858
0.029 0.478 0.142
0.736 0.025 0.917
0.975 0.264 0.583
0.522 0.971 0.358
0.478 0.029 0.642
0.500 0.500 0.000
0.025 0.736 0.417
0.264 0.975 0.083
0.763 0.916 0.140
0.237 0.084 0.860
0.916 0.763 0.640
0.084 0.237 0.360
0.413 0.587 0.750
0.587 0.413 0.250
```

Properties
* E_form (uncorrected): -947 meV per atom
* mass density: 2.99 Mg/m³
* total moment: 0.00 Bohr magnetons per cell
* calculated total energy: -0.8439 Ry/atom

***

- Number 4 is which compound?
  Na5AgGe2S7